Rb2Ni2IrO6 PBE with a Hubbard U relaxed; electronic total energy = -5.188 eV/atom
1.0
2.7005 -4.6418 0.0000
2.7005 4.6418 0.0000
-1.9674 0.0000 6.4031
Rb Ni Ir O
2 2 1 6
Cartesian
2.7005 3.0642 0.0000 Rb
2.7005 -3.0642 0.0000 Rb
1.7168 1.5359 3.2015 Ni
1.7168 -1.5359 3.2015 Ni
-0.9837 0.0000 3.2015 Ir
-0.1379 1.4659 4.2261 O
0.7205 0.0000 2.1860 O
-0.1379 -1.4659 4.2261 O
3.5715 1.4659 2.1769 O
2.7132 0.0000 4.2171 O
3.5715 -1.4659 2.1769 O